Here is a relaxed structure of Dy2I2N from the Alexandria database. Energies are from GGA-PBE.

Summary:
Its density of states at the Fermi level is 2.985 states/eV per cell. The calculation puts the total energy at -5.51 eV per atom.

Lattice parameters (Å, degrees): 6.5555 3.7847 11.7995 90.00 102.04 90.00
With the nearest neighbours (Å) after each atom.
Space group C2/m (No. 12)
Inequivalent atoms, fractional coordinates:
Dy: 0.2077 0.0000 0.1094  3 N 2.52
I: 0.0552 0.0000 0.7031  3 Dy 3.07
N: 0.0000 0.5000 0.0000  6 Dy 2.52